# 1
{"formula": "HoMnN2", "functional": "PBE", "state": "optimized geometry", "cell": [[3.144, 0.000, 0.000], [-1.572, 2.723, 0.000], [0.000, 0.000, 15.939]], "species": ["Ho", "Ho", "Ho", "Mn", "Mn", "Mn", "N", "N", "N", "N", "N", "N"], "frac_coords": [[0.000, 0.000, 0.000], [0.333, 0.667, 0.667], [0.667, 0.333, 0.333], [0.000, 0.000, 0.824], [0.333, 0.667, 0.491], [0.667, 0.333, 0.157], [0.000, 0.000, 0.424], [0.000, 0.000, 0.572], [0.333, 0.667, 0.091], [0.333, 0.667, 0.239], [0.667, 0.333, 0.757], [0.667, 0.333, 0.905]], "raw_formation_energy_ev_per_atom": -0.5226, "vol_a3_per_atom": 11.4, "dos_ef_per_ev_cell": 1.4, "energy_ev_per_fu": -32.5, "rho_kg_m3": 9051}

=====

# 2
{"formula": "HoMnN", "functional": "PBE", "state": "optimized geometry", "cell": [[0.000, 4.211, 5.322], [3.989, 0.000, 5.322], [3.989, 4.211, 0.000]], "species": ["Ho", "Ho", "Ho", "Ho", "Mn", "Mn", "Mn", "Mn", "N", "N", "N", "N"], "frac_coords": [[0.025, 0.025, 0.725], [0.275, 0.275, 0.975], [0.725, 0.725, 0.025], [0.975, 0.975, 0.275], [0.000, 0.500, 0.500], [0.500, 0.000, 0.500], [0.500, 0.500, 0.000], [0.500, 0.500, 0.500], [0.103, 0.647, 0.647], [0.353, 0.897, 0.897], [0.647, 0.103, 0.103], [0.897, 0.353, 0.353]], "raw_formation_energy_ev_per_atom": -0.5051, "vol_a3_per_atom": 14.9, "dos_ef_per_ev_cell": 8.7, "energy_ev_per_fu": -23.6, "rho_kg_m3": 8687}

=====

# 3
{"formula": "HoNp2MnN4", "functional": "PBE", "state": "optimized geometry", "cell": [[1.657, -5.659, 0.000], [1.657, 5.659, 0.000], [0.000, 0.000, 11.277]], "species": ["Ho", "Ho", "Np", "Np", "Np", "Np", "Mn", "Mn", "N", "N", "N", "N", "N", "N", "N", "N"], "frac_coords": [[0.107, 0.893, 0.750], [0.893, 0.107, 0.250], [0.369, 0.631, 0.556], [0.369, 0.631, 0.944], [0.631, 0.369, 0.056], [0.631, 0.369, 0.444], [0.158, 0.842, 0.250], [0.842, 0.158, 0.750], [0.000, 0.000, 0.000], [0.000, 0.000, 0.500], [0.274, 0.726, 0.120], [0.274, 0.726, 0.380], [0.449, 0.551, 0.750], [0.551, 0.449, 0.250], [0.726, 0.274, 0.620], [0.726, 0.274, 0.880]], "raw_formation_energy_ev_per_atom": -1.0440, "vol_a3_per_atom": 13.2, "dos_ef_per_ev_cell": 17.0, "energy_ev_per_fu": -81.3, "rho_kg_m3": 11775}

=====

# 4
{"formula": "HoPu2MnN4", "functional": "PBE", "state": "optimized geometry", "cell": [[1.647, -5.668, 0.000], [1.647, 5.668, 0.000], [0.000, 0.000, 11.464]], "species": ["Ho", "Ho", "Pu", "Pu", "Pu", "Pu", "Mn", "Mn", "N", "N", "N", "N", "N", "N", "N", "N"], "frac_coords": [[0.109, 0.891, 0.750], [0.891, 0.109, 0.250], [0.368, 0.632, 0.553], [0.368, 0.632, 0.947], [0.632, 0.368, 0.053], [0.632, 0.368, 0.447], [0.155, 0.845, 0.250], [0.845, 0.155, 0.750], [0.000, 0.000, 0.000], [0.000, 0.000, 0.500], [0.271, 0.729, 0.125], [0.271, 0.729, 0.375], [0.450, 0.550, 0.750], [0.550, 0.450, 0.250], [0.729, 0.271, 0.625], [0.729, 0.271, 0.875]], "raw_formation_energy_ev_per_atom": -1.0567, "vol_a3_per_atom": 13.4, "dos_ef_per_ev_cell": 20.4, "energy_ev_per_fu": -84.2, "rho_kg_m3": 11851}

=====

# 5
{"formula": "Ho2MnReN5", "functional": "PBE", "state": "optimized geometry", "cell": [[1.607, -7.069, 0.000], [1.607, 7.069, 0.000], [0.000, 0.000, 9.296]], "species": ["Ho", "Ho", "Ho", "Ho", "Mn", "Mn", "Re", "Re", "N", "N", "N", "N", "N", "N", "N", "N", "N", "N"], "frac_coords": [[0.120, 0.880, 0.500], [0.134, 0.866, 0.872], [0.866, 0.134, 0.372], [0.880, 0.120, 0.000], [0.220, 0.780, 0.190], [0.780, 0.220, 0.690], [0.428, 0.572, 0.673], [0.572, 0.428, 0.173], [0.024, 0.976, 0.260], [0.303, 0.697, 0.558], [0.309, 0.691, 0.829], [0.351, 0.649, 0.189], [0.483, 0.517, 0.493], [0.517, 0.483, 0.993], [0.649, 0.351, 0.689], [0.691, 0.309, 0.329], [0.697, 0.303, 0.058], [0.976, 0.024, 0.760]], "raw_formation_energy_ev_per_atom": -0.7641, "vol_a3_per_atom": 11.7, "dos_ef_per_ev_cell": 4.5, "energy_ev_per_fu": -79.3, "rho_kg_m3": 10082}

=====

# 6
{"formula": "HoMn2SiN", "functional": "PBE", "state": "optimized geometry", "cell": [[1.790, -5.304, 0.000], [1.790, 5.304, 0.000], [0.000, 0.000, 6.982]], "species": ["Ho", "Ho", "Mn", "Mn", "Mn", "Mn", "Si", "Si", "N", "N"], "frac_coords": [[0.043, 0.957, 0.750], [0.957, 0.043, 0.250], [0.333, 0.667, 0.556], [0.333, 0.667, 0.944], [0.667, 0.333, 0.056], [0.667, 0.333, 0.444], [0.234, 0.766, 0.250], [0.766, 0.234, 0.750], [0.500, 0.500, 0.000], [0.500, 0.500, 0.500]], "raw_formation_energy_ev_per_atom": -0.8309, "vol_a3_per_atom": 13.3, "dos_ef_per_ev_cell": 6.0, "energy_ev_per_fu": -40.8, "rho_kg_m3": 7937}

=====

# 7
{"formula": "TbHo2MnN4", "functional": "PBE", "state": "optimized geometry", "cell": [[1.676, -5.659, 0.000], [1.676, 5.659, 0.000], [0.000, 0.000, 11.445]], "species": ["Tb", "Tb", "Ho", "Ho", "Ho", "Ho", "Mn", "Mn", "N", "N", "N", "N", "N", "N", "N", "N"], "frac_coords": [[0.117, 0.883, 0.750], [0.883, 0.117, 0.250], [0.368, 0.632, 0.543], [0.368, 0.632, 0.957], [0.632, 0.368, 0.043], [0.632, 0.368, 0.457], [0.151, 0.849, 0.250], [0.849, 0.151, 0.750], [0.000, 0.000, 0.000], [0.000, 0.000, 0.500], [0.267, 0.733, 0.132], [0.267, 0.733, 0.368], [0.427, 0.573, 0.750], [0.573, 0.427, 0.250], [0.733, 0.267, 0.632], [0.733, 0.267, 0.868]], "raw_formation_energy_ev_per_atom": -1.2074, "vol_a3_per_atom": 13.6, "dos_ef_per_ev_cell": 5.4, "energy_ev_per_fu": -65.9, "rho_kg_m3": 9177}

=====

# 8
{"formula": "Tb2HoMnN4", "functional": "PBE", "state": "optimized geometry", "cell": [[1.679, -5.690, 0.000], [1.679, 5.690, 0.000], [0.000, 0.000, 11.574]], "species": ["Tb", "Tb", "Tb", "Tb", "Ho", "Ho", "Mn", "Mn", "N", "N", "N", "N", "N", "N", "N", "N"], "frac_coords": [[0.132, 0.868, 0.543], [0.132, 0.868, 0.957], [0.868, 0.132, 0.043], [0.868, 0.132, 0.457], [0.378, 0.622, 0.750], [0.622, 0.378, 0.250], [0.350, 0.650, 0.250], [0.650, 0.350, 0.750], [0.074, 0.926, 0.750], [0.231, 0.769, 0.135], [0.231, 0.769, 0.365], [0.500, 0.500, 0.000], [0.500, 0.500, 0.500], [0.769, 0.231, 0.635], [0.769, 0.231, 0.865], [0.926, 0.074, 0.250]], "raw_formation_energy_ev_per_atom": -1.1456, "vol_a3_per_atom": 13.8, "dos_ef_per_ev_cell": 5.6, "energy_ev_per_fu": -65.5, "rho_kg_m3": 8917}

=====

# 9
{"formula": "Ho2MnTcN5", "functional": "PBE", "state": "optimized geometry", "cell": [[1.609, -6.996, 0.000], [1.609, 6.996, 0.000], [0.000, 0.000, 9.294]], "species": ["Ho", "Ho", "Ho", "Ho", "Mn", "Mn", "Tc", "Tc", "N", "N", "N", "N", "N", "N", "N", "N", "N", "N"], "frac_coords": [[0.118, 0.882, 0.500], [0.133, 0.867, 0.875], [0.867, 0.133, 0.375], [0.882, 0.118, 0.000], [0.218, 0.782, 0.190], [0.782, 0.218, 0.690], [0.431, 0.569, 0.672], [0.569, 0.431, 0.172], [0.022, 0.978, 0.255], [0.302, 0.698, 0.558], [0.309, 0.691, 0.829], [0.350, 0.650, 0.188], [0.483, 0.517, 0.487], [0.517, 0.483, 0.987], [0.650, 0.350, 0.688], [0.691, 0.309, 0.329], [0.698, 0.302, 0.058], [0.978, 0.022, 0.755]], "raw_formation_energy_ev_per_atom": -0.7376, "vol_a3_per_atom": 11.6, "dos_ef_per_ev_cell": 4.5, "energy_ev_per_fu": -77.0, "rho_kg_m3": 8776}

=====

# 10
{"formula": "HoU2MnN5", "functional": "PBE", "state": "optimized geometry", "cell": [[6.398, 0.000, 0.000], [0.000, 6.398, 0.000], [0.000, 0.000, 5.494]], "species": ["Ho", "Ho", "U", "U", "U", "U", "Mn", "Mn", "N", "N", "N", "N", "N", "N", "N", "N", "N", "N"], "frac_coords": [[0.000, 0.000, 0.000], [0.500, 0.500, 0.000], [0.169, 0.331, 0.500], [0.331, 0.831, 0.500], [0.669, 0.169, 0.500], [0.831, 0.669, 0.500], [0.000, 0.500, 0.000], [0.500, 0.000, 0.000], [0.000, 0.000, 0.500], [0.153, 0.653, 0.238], [0.153, 0.653, 0.762], [0.347, 0.153, 0.238], [0.347, 0.153, 0.762], [0.500, 0.500, 0.500], [0.653, 0.847, 0.238], [0.653, 0.847, 0.762], [0.847, 0.347, 0.238], [0.847, 0.347, 0.762]], "raw_formation_energy_ev_per_atom": -1.1247, "vol_a3_per_atom": 12.5, "dos_ef_per_ev_cell": 9.3, "energy_ev_per_fu": -88.1, "rho_kg_m3": 11311}

=====

# 11
{"formula": "NaHo2Mn", "functional": "PBE", "state": "optimized geometry", "cell": [[3.442, 0.000, 0.000], [0.000, 3.442, 0.000], [0.000, 0.000, 9.230]], "species": ["Na", "Ho", "Ho", "Mn"], "frac_coords": [[0.000, 0.000, 0.000], [0.500, 0.500, 0.319], [0.500, 0.500, 0.681], [0.000, 0.000, 0.500]], "vol_a3_per_atom": 27.3, "formation_enthalpy_0k_kj_per_mol_fu": 58, "dos_ef_per_ev_cell": 3.7, "energy_ev_per_fu": -19.0, "rho_kg_m3": 6192}